Entry from Alexandria via LeMat-Bulk: a relaxed LaPIrS2 crystal (PBE).

- VASP energy: -6.1364 eV per atom
- E_form (uncorrected): -646 meV/atom
- Theoretical density: 6.6 g cm⁻³
- Excess energy over the best structure of this formula in the dataset: 0 meV/atom
- Symmetry: P4/mmm
- DOS(E_F): 0.598 states/eV per atom
- Crystal system: tetragonal
- M_tot: 0.00 μB per atom

Lattice parameters (Å, degrees): 4.9372 4.9372 4.3831 90.00 90.00 90.00
Sites, in units of the cell vectors:
P  0.0000  0.0000  0.5000
S  0.0000  0.5000  0.0000
S  0.5000  0.0000  0.0000
Ir  0.0000  0.0000  0.0000
La  0.5000  0.5000  0.5000